This record from the Alexandria database describes a crystal of La2CdPb2 relaxed with PBEsol. The functional is SCAN.

```
data_La2CdPb2
_cell_length_a 7.9704
_cell_length_b 7.9704
_cell_length_c 4.7044
_cell_angle_alpha 90.00
_cell_angle_beta 90.00
_cell_angle_gamma 90.00
_symmetry_space_group_name_H-M 'P 4/m b m'
_symmetry_Int_Tables_number 127
_symmetry_space_group_name_Hall '-P 4 2ab'
loop_
_atom_site_label
_atom_site_fract_x
_atom_site_fract_y
_atom_site_fract_z
_atom_site_occupancy
La1 0.1736 0.3264 0.0000 1
Cd1 0.0000 0.0000 0.5000 1
Pb1 0.1327 0.6327 0.5000 1
```

Computed properties:
As for the density of states at the Fermi level: 0.414 states/eV per atom. For the spin magnetization, the calculation gives 0.00 μB per formula unit. For the energy of formation, the calculation gives -70.4 kJ per mole of atoms. The value obtained for the total energy is -54.37 eV per atom.